A relaxed Ac8Co4Rh crystal, computed with PBE.

Output
crystal system = monoclinic
ΔE_f = -0.026 eV per atom
symmetry = Cm, No. 8

abc: 10.3357 10.3357 13.8548
angles: 129.78 129.78 23.87
Fractional positions:
Ac 0.0000 0.0000 0.0000
Ac 0.0275 0.0275 0.7452
Ac 0.2976 0.2976 0.9230
Ac 0.3288 0.3288 0.6659
Ac 0.3649 0.3649 0.4035
Ac 0.6216 0.6216 0.5982
Ac 0.7026 0.7026 0.0659
Ac 0.9530 0.9530 0.2631
Co 0.0002 0.0002 0.5112
Co 0.3219 0.3219 0.1497
Co 0.5260 0.5260 0.8932
Co 0.8068 0.8068 0.7965
Rh 0.8442 0.8442 0.5267